LaCr2HgOs | GGA-PBE | optimized geometry

a b c (Å): 4.7296 5.6694 4.7296
angles (deg): 90.00 90.00 90.00
Closest atoms and distances in Å follow each position.
Element x y z (fractional)
Cr1 0.0000 0.0000 0.5000  2 Hg 2.36
Cr2 0.5000 0.0000 0.0000  2 Hg 2.36
Os1 0.5000 0.5000 0.5000  4 La 3.34, 8 Cr 3.69
Hg1 0.0000 0.0000 0.0000  4 Cr 2.36
La1 0.0000 0.5000 0.0000  2 Hg 2.83

The space group is P4/mmm (123). The value obtained for the formation energy from the elements is 2289 meV per atom.



AcY3Ho5 | GGA-PBE | optimized geometry

a b c (Å): 9.5513 9.5513 11.7881
angles (deg): 52.84 52.84 72.88
Closest atoms and distances in Å follow each position.
Element x y z (fractional)
Ac1 0.1604 0.1604 0.5907  4 Y 3.32-3.47, 2 Ho 3.47-3.50
Ac2 0.8396 0.8396 0.4093  4 Y 3.32-3.47, 2 Ho 3.47-3.50
Y1 0.6905 0.6905 0.8200  1 Y 3.15, 5 Ho 3.23-3.37, 1 Ac 3.47
Y2 0.6549 0.6549 0.3580  2 Y 3.15-3.51, 4 Ho 3.27-3.49, 1 Ac 3.32
Y3 0.0000 0.0000 0.0000  4 Ho 2.95-3.18
Y4 0.0000 0.0000 0.5000  2 Y 3.15, 2 Ac 3.34
Y5 0.3095 0.3095 0.1800  1 Y 3.15, 5 Ho 3.23-3.37, 1 Ac 3.47
Y6 0.3451 0.3451 0.6420  2 Y 3.15-3.51, 4 Ho 3.27-3.49, 1 Ac 3.32
Ho1 0.8632 0.3618 0.2386  3 Ho 3.29-3.64, 2 Y 3.45-3.53
Ho2 0.2599 0.7401 0.0000  1 Y 2.95
Ho3 0.8173 0.8173 0.9597  3 Y 3.18-3.37, 3 Ho 3.26-3.29, 1 Ac 3.50
Ho4 0.5004 0.5004 0.2254  3 Y 3.23-3.49, 3 Ho 3.26-3.39, 1 Ac 3.47
Ho5 0.4996 0.4996 0.7746  3 Y 3.23-3.49, 3 Ho 3.26-3.39, 1 Ac 3.47
Ho6 0.1827 0.1827 0.0403  3 Y 3.18-3.37, 3 Ho 3.26-3.29, 1 Ac 3.50
Ho7 0.3618 0.8632 0.2386  3 Ho 3.29-3.64, 2 Y 3.45-3.53
Ho8 0.7401 0.2599 0.0000  1 Y 2.95
Ho9 0.1368 0.6382 0.7614  3 Ho 3.29-3.64, 2 Y 3.45-3.53
Ho10 0.6382 0.1368 0.7614  3 Ho 3.29-3.64, 2 Y 3.45-3.53

The value obtained for the energy above the most stable polymorph in this dataset is 291.8 meV/atom. The space group is C2/m (12). The value obtained for the formation energy from the elements is 525 meV per atom.



Ba2MnZn | GGA-PBE | optimized geometry

a b c (Å): 5.5727 5.5727 5.5727
angles (deg): 60.00 60.00 60.00
Closest atoms and distances in Å follow each position.
Element x y z (fractional)
Ba1 0.0000 0.0000 0.0000  4 Zn 3.41, 4 Ba 3.41
Ba2 0.2500 0.2500 0.2500  4 Mn 3.41, 4 Ba 3.41
Mn1 0.5000 0.5000 0.5000  4 Zn 3.41, 4 Ba 3.41
Zn1 0.7500 0.7500 0.7500  4 Mn 3.41, 4 Ba 3.41

The space group is F-43m (216). The value obtained for the formation energy from the elements is 407 meV per atom.



NaZn2Cd | GGA-PBE | optimized geometry

a b c (Å): 3.1716 5.0783 5.0783
angles (deg): 90.00 90.00 90.00
Closest atoms and distances in Å follow each position.
Element x y z (fractional)
Na1 0.5000 0.5000 0.5000  8 Zn 2.99, 2 Na 3.17
Zn1 0.0000 0.0000 0.5000  4 Na 2.99, 4 Cd 2.99, 2 Zn 3.17
Zn2 0.0000 0.5000 0.0000  4 Na 2.99, 4 Cd 2.99, 2 Zn 3.17
Cd1 0.5000 0.0000 0.0000  8 Zn 2.99, 2 Cd 3.17

The space group is P4/mmm (123). The value obtained for the formation energy from the elements is 123 meV per atom.



HoCuPdPb | GGA-PBE | optimized geometry

a b c (Å): 4.8244 4.8244 4.8244
angles (deg): 60.00 60.00 60.00
Closest atoms and distances in Å follow each position.
Element x y z (fractional)
Pb1 0.5000 0.5000 0.5000  4 Pd 2.95, 4 Cu 2.95
Cu1 0.2500 0.2500 0.2500  4 Pb 2.95, 4 Ho 2.95
Ho1 0.0000 0.0000 0.0000  4 Cu 2.95, 4 Pd 2.95
Pd1 0.7500 0.7500 0.7500  4 Pb 2.95, 4 Ho 2.95

The space group is F-43m (216). The value obtained for the formation energy from the elements is -452 meV per atom.



Th4SiAs2Au | GGA-PBE | optimized geometry

a b c (Å): 4.2186 7.4441 7.4532
angles (deg): 70.94 90.00 90.00
Closest atoms and distances in Å follow each position.
Element x y z (fractional)
Th1 0.0000 0.7505 0.7449  3 As 3.00-3.06, 1 Si 3.01, 2 Au 3.04
Th2 0.0000 0.2495 0.2551  3 As 3.00-3.06, 1 Si 3.01, 2 Au 3.04
Th3 0.5000 0.7492 0.2564  2 Si 3.00, 3 As 3.00-3.04, 1 Au 3.07
Th4 0.5000 0.2508 0.7436  2 Si 3.00, 3 As 3.00-3.04, 1 Au 3.07
Si1 0.0000 0.5000 0.5000  6 Th 3.00-3.01
As1 0.0000 0.0000 0.0000  6 Th 3.04-3.06
As2 0.5000 0.0000 0.5000  6 Th 3.00
Au1 0.5000 0.5000 0.0000  6 Th 3.04-3.07

The space group is P2/m (10). As for the formation energy without anion corrections: -967 meV per atom.